First-principles (GGA+U) data for a relaxed structure of ZnWO4, as listed in Alexandria.

Calculated values
Its magnetization is 0.00 Bohr magnetons per cell. The total energy is -38.17 eV per formula unit. Its density of states at the Fermi level is 0.000 states/eV/f.u.

Unit cell a=4.7837 b=4.7837 c=8.9004 alpha=90.00 beta=90.00 gamma=90.00
Space group P-42c (No. 112)
One atom of each set of equivalent atoms:
Zn: 0.0000 0.0000 0.0000
W: 0.0000 0.5000 0.2500
O: 0.2054 0.2716 0.3709